Record 1
{
  "formula": "Na3MnS4",
  "functional": "PBE-GGA",
  "state": "relaxed",
  "polymorph_energy_mev_per_atom": 18,
  "magmom_total_mub_per_cell": 2.295,
  "cell": [[4.2573, -5.4196, 0.0000], [4.2573, 5.4196, 0.0000], [0.0000, 0.0000, 3.4457]],
  "species": ["Na", "Na", "Na", "Mn", "S", "S", "S", "S"],
  "frac_coords": [[0.0000, 0.0000, 0.0000], [0.0000, 0.5000, 0.5000], [0.5000, 0.0000, 0.5000], [0.5000, 0.5000, 0.0000], [0.2805, 0.7195, 0.0000], [0.3077, 0.3077, 0.5000], [0.6923, 0.6923, 0.5000], [0.7195, 0.2805, 0.0000]]
}


Record 2
{
  "formula": "Na3MnS",
  "functional": "PBE-GGA",
  "state": "relaxed",
  "polymorph_energy_mev_per_atom": 0,
  "magmom_total_mub_per_cell": 4.264,
  "cell": [[5.3424, 0.0000, 0.0000], [0.0000, 5.3424, 0.0000], [0.0000, 0.0000, 5.3424]],
  "species": ["Na", "Na", "Na", "Mn", "S"],
  "frac_coords": [[0.0000, 0.0000, 0.5000], [0.0000, 0.5000, 0.0000], [0.5000, 0.0000, 0.0000], [0.5000, 0.5000, 0.5000], [0.0000, 0.0000, 0.0000]]
}


Record 3
{
  "formula": "NaMnS3",
  "functional": "PBE-GGA",
  "state": "relaxed",
  "polymorph_energy_mev_per_atom": 1628,
  "magmom_total_mub_per_cell": 1.781,
  "cell": [[4.7628, 0.0000, 0.0000], [0.0000, 4.7628, 0.0000], [0.0000, 0.0000, 4.7628]],
  "species": ["Na", "Mn", "S", "S", "S"],
  "frac_coords": [[0.0000, 0.0000, 0.0000], [0.5000, 0.5000, 0.5000], [0.0000, 0.0000, 0.5000], [0.0000, 0.5000, 0.0000], [0.5000, 0.0000, 0.0000]]
}


Record 4
{
  "formula": "NaMnSbS3",
  "functional": "PBE-GGA",
  "state": "relaxed",
  "total_energy_ev_per_atom": -5.0588,
  "magmom_total_mub_per_cell": 8.021,
  "cell": [[8.4142, 0.0000, 0.0000], [0.0000, 3.9368, 0.0000], [-0.8963, 0.0000, 8.8821]],
  "species": ["Na", "Na", "Mn", "Mn", "Sb", "Sb", "S", "S", "S", "S", "S", "S"],
  "frac_coords": [[0.1469, 0.2500, 0.1873], [0.8531, 0.7500, 0.8127], [0.0954, 0.2500, 0.5735], [0.9046, 0.7500, 0.4265], [0.3605, 0.7500, 0.8457], [0.6395, 0.2500, 0.1543], [0.1389, 0.2500, 0.8471], [0.1851, 0.7500, 0.4754], [0.3897, 0.7500, 0.1245], [0.6103, 0.2500, 0.8755], [0.8149, 0.2500, 0.5246], [0.8611, 0.7500, 0.1529]]
}


For the records above, the corresponding D(E_F) values read 3.673 6.748 10.927 1.978 states/eV/cell.